Entry from Alexandria: a relaxed structure of YAg3Sb (GGA-PBE).

Values from the calculation:
- Formation energy without anion corrections: 1.92 eV per formula unit
- Mass density: 6.44 g/cm3
- Magnetization: 0.00 μB per cell
- Distance to the lowest polymorph of the same formula: 0 meV per atom

```
YAg3Sb
1.0
5.166 0.000 0.000
0.000 5.166 0.000
0.000 0.000 5.166
Y Ag Sb
1 3 1
direct
0.000 0.000 0.000
0.000 0.500 0.500
0.500 0.000 0.500
0.500 0.500 0.000
0.500 0.500 0.500
```